# 1
Below is a relaxed structure of La2Te, with properties calculated at the PBEsol level.

Cell: 4.851 4.920 4.920 Å, 120.00 90.00 90.00°
Fractional positions:
La 0.265 0.667 0.333
Te 0.000 0.000 0.000
La 0.735 0.333 0.667

* space-group type: No. 164

=====

# 2
Below is a relaxed structure of ScInW2, with properties calculated at the PBEsol level.

Cell: 3.458 4.389 5.416 Å, 113.91 108.62 90.00°
Fractional positions:
W 0.751 0.751 0.503
Sc 0.500 0.000 0.000
W 0.249 0.249 0.497
In 0.000 0.500 0.000

* calculated formation energy: 285 meV per atom
* space-group type: No. 71

=====

# 3
Below is a relaxed structure of Bi3Ru3O11, with properties calculated at the PBEsol level.

Cell: 9.248 9.248 9.248 Å, 90.00 90.00 90.00°
Fractional positions:
O 0.650 0.006 0.286
O 0.850 0.506 0.786
Bi 0.750 0.250 0.250
O 0.494 0.786 0.150
O 0.650 0.994 0.714
O 0.714 0.650 0.994
O 0.603 0.397 0.397
O 0.994 0.714 0.650
O 0.162 0.500 0.500
O 0.506 0.786 0.850
Bi 0.750 0.750 0.750
Ru 0.000 0.500 0.636
Ru 0.000 0.136 0.500
Ru 0.500 0.000 0.864
O 0.897 0.103 0.103
Bi 0.865 0.865 0.135
O 0.397 0.603 0.397
O 0.994 0.286 0.350
O 0.786 0.150 0.494
Bi 0.135 0.135 0.135
O 0.006 0.286 0.650
O 0.103 0.103 0.897
O 0.006 0.714 0.350
Bi 0.250 0.750 0.250
Ru 0.000 0.500 0.364
O 0.150 0.494 0.786
O 0.000 0.000 0.662
O 0.662 0.000 0.000
Bi 0.250 0.250 0.750
Ru 0.364 0.000 0.500
O 0.338 0.000 0.000
Bi 0.635 0.635 0.365
O 0.500 0.162 0.500
O 0.214 0.150 0.506
O 0.500 0.500 0.162
O 0.000 0.338 0.000
O 0.397 0.397 0.603
Ru 0.864 0.500 0.000
O 0.506 0.214 0.150
Ru 0.500 0.636 0.000
O 0.786 0.850 0.506
O 0.350 0.994 0.286
Bi 0.365 0.635 0.635
O 0.494 0.214 0.850
O 0.714 0.350 0.006
O 0.103 0.897 0.103
O 0.150 0.506 0.214
O 0.214 0.850 0.494
O 0.286 0.650 0.006
Ru 0.000 0.864 0.500
Bi 0.365 0.365 0.365
Bi 0.865 0.135 0.865
O 0.897 0.897 0.897
O 0.500 0.838 0.500
Ru 0.136 0.500 0.000
O 0.286 0.350 0.994
Ru 0.500 0.000 0.136
Bi 0.135 0.865 0.865
O 0.000 0.000 0.338
Ru 0.500 0.364 0.000
O 0.500 0.500 0.838
O 0.838 0.500 0.500
Bi 0.635 0.365 0.635
O 0.350 0.006 0.714
O 0.603 0.603 0.603
O 0.850 0.494 0.214
Ru 0.636 0.000 0.500
O 0.000 0.662 0.000

* space-group type: No. 201

=====

# 4
Below is a relaxed structure of BaPS2I, with properties calculated at the PBEsol level.

Cell: 5.073 5.191 5.191 Å, 90.00 90.00 90.00°
Fractional positions:
I 0.000 0.000 0.000
Ba 0.500 0.500 0.500
P 0.500 0.000 0.000
S 0.000 0.500 0.000
S 0.000 0.000 0.500

* space-group type: No. 123

=====

# 5
Below is a relaxed structure of Sr2TcOs, with properties calculated at the PBEsol level.

Cell: 3.389 3.760 9.200 Å, 101.79 100.62 90.00°
Fractional positions:
Sr 0.354 0.354 0.707
Tc 0.500 0.000 0.000
Os 0.000 0.500 0.000
Sr 0.646 0.646 0.293

* calculated formation energy: 570 meV per atom
* space-group type: No. 71

=====

# 6
Below is a relaxed structure of LiTlW2, with properties calculated at the PBEsol level.

Cell: 2.862 2.862 9.911 Å, 81.70 81.70 60.00°
Fractional positions:
Tl 0.248 0.248 0.255
W 0.003 0.003 0.990
Li 0.498 0.498 0.505
W 0.750 0.750 0.750

* calculated formation energy: 602 meV per atom
* space-group type: No. 160
* offset from the most stable computed form: 0.000 eV/atom

=====

# 7
Below is a relaxed structure of KLi3Pb, with properties calculated at the PBEsol level.

Cell: 5.342 5.342 5.342 Å, 90.00 90.00 90.00°
Fractional positions:
Li 0.000 0.000 0.500
Pb 0.000 0.000 0.000
Li 0.000 0.500 0.000
Li 0.500 0.000 0.000
K 0.500 0.500 0.500

* calculated formation energy: -149 meV per atom
* space-group type: No. 221

=====

# 8
Below is a relaxed structure of Hf3HgF, with properties calculated at the PBEsol level.

Cell: 5.183 5.183 5.183 Å, 90.00 90.00 90.00°
Fractional positions:
Hf 0.500 0.000 0.000
Hg 0.000 0.000 0.000
Hf 0.000 0.500 0.000
Hf 0.000 0.000 0.500
F 0.500 0.500 0.500

* space-group type: No. 221

=====

Going through the records in order, we get size of the total moment values of 0.00; 0.00; 1.11; 0.00; 0.00; 0.00; 0.00; 0.01 Bohr magnetons per cell.
Going through the records in order, we get calculated total energy values of -5.387; -9.016; -7.126; -3.823; -6.221; -7.451; -2.356; -5.644 eV per atom.